A relaxed Pr2TlCrO6 crystal, computed with PBE+U.

As for the density of states at the Fermi level: 0.000 states/eV per atom. The total energy comes out at -7.2335 eV per atom.

It has space group P2_1/c (No. 14), with a = 5.650 Å, b = 5.959 Å, c = 9.928 Å, α = 90.00°, β = 124.55° and γ = 90.00°. Symmetry generates all atoms from Pr at (0.232, 0.063, 0.251), Tl at (0.500, 0.000, 0.000), Cr at (0.000, 0.000, 0.500), O at (0.111, 0.213, 0.933), O at (0.234, 0.683, 0.943) and O at (0.352, 0.049, 0.733).